Material: Li4PrGa4
Method: DFT, PBE
State: relaxed

Calculated values
As for the total moment: 0.00 μB/f.u. The electronic total energy is -3.004 eV/atom. Its density of states at the Fermi level is 7.190 states/eV per cell. The calculation puts the density at 4.5 g/cm³. Its symmetry is No. 137.

The structure in POSCAR format:
```
Li4PrGa4
1.0
5.948 0.000 0.000
0.000 5.948 0.000
0.000 0.000 9.335
Li Pr Ga
8 2 8
Cartesian
1.356 2.974 8.558
4.592 2.974 8.558
2.974 4.592 0.777
2.974 1.356 0.777
0.000 4.330 3.891
0.000 1.618 3.891
1.618 0.000 5.444
4.330 0.000 5.444
0.000 0.000 0.000
2.974 2.974 4.668
2.974 4.648 7.377
2.974 1.300 7.377
4.648 2.974 1.958
1.300 2.974 1.958
1.674 0.000 2.710
4.274 0.000 2.710
0.000 1.674 6.625
0.000 4.274 6.625
```


Material: CdHg
Method: DFT, PBE
State: relaxed

Calculated values
As for the total moment: 0.00 μB/f.u. The electronic total energy is -0.550 eV/atom. Its density of states at the Fermi level is 5.050 states/eV per cell. The calculation puts the density at 10.2 g/cm³. Its symmetry is No. 176.

The structure in POSCAR format:
```
CdHg
1.0
-7.600 3.258 -0.847
1.024 -8.248 -0.132
-0.635 -0.160 5.081
Cd Hg
6 6
Cartesian
-3.070 -5.806 0.725
-4.565 -2.303 3.231
-0.312 -4.706 1.104
-4.141 0.656 3.377
-2.646 -2.846 0.871
-6.898 -0.444 2.998
-6.889 1.421 0.475
-5.074 -5.256 3.074
-5.627 -3.378 0.482
-0.322 -6.570 3.627
-2.136 0.106 1.028
-1.584 -1.771 3.620
```


Material: Ce2EuRu
Method: DFT, PBE
State: relaxed

Calculated values
As for the total moment: 8.74 μB/f.u. Its density of states at the Fermi level is 10.166 states/eV per cell. The calculation puts the density at 8.8 g/cm³. Its symmetry is No. 166. The calculation puts the offset from the most stable computed form at 0.139 eV per atom.

The structure in POSCAR format:
```
Ce2EuRu
1.0
4.722 0.000 0.000
2.361 4.089 0.000
2.361 1.363 5.212
Eu Ru Ce
1 1 2
Cartesian
4.722 2.726 2.606
0.000 0.000 0.000
2.361 1.363 1.046
7.082 4.089 4.166
```


Material: LiTl2Ir
Method: DFT, PBE
State: relaxed

Calculated values
As for the total moment: 0.00 μB/f.u. The electronic total energy is -3.720 eV/atom. Its density of states at the Fermi level is 1.494 states/eV per cell. The calculation puts the density at 12.5 g/cm³. Its symmetry is No. 123.

The structure in POSCAR format:
```
LiTl2Ir
1.0
-0.721 3.091 -0.238
-0.835 -0.428 -3.041
-7.459 -1.565 2.268
Ir Li Tl
1 1 2
Cartesian
-2.643 0.940 -1.072
-6.372 0.158 0.062
-0.107 -0.022 0.033
-3.622 -0.760 1.102
```


Material: Ce2PmHo
Method: DFT, PBE
State: relaxed

Calculated values
As for the total moment: 1.60 μB/f.u. Its density of states at the Fermi level is 10.343 states/eV per cell. The calculation puts the density at 7.9 g/cm³. Its symmetry is No. 123. The calculation puts the offset from the most stable computed form at 0.000 eV per atom.

The structure in POSCAR format:
```
Ce2PmHo
1.0
-4.961 -0.865 -0.775
-0.189 -2.634 4.153
-1.106 4.072 2.533
Ho Ce Pm
1 2 1
Cartesian
-2.480 -0.433 -0.387
-0.553 2.036 1.266
-0.095 -1.317 2.076
-3.128 0.286 2.955
```


Material: ReHIrRu2
Method: DFT, PBE
State: relaxed

Calculated values
As for the total moment: 0.00 μB/f.u. The electronic total energy is -8.596 eV/atom. Its density of states at the Fermi level is 3.621 states/eV per cell. The calculation puts the density at 16.3 g/cm³. Its symmetry is No. 123.

The structure in POSCAR format:
```
ReHIrRu2
1.0
3.885 0.000 0.000
0.000 3.885 0.000
0.000 0.000 3.925
Re Ir H Ru
1 1 1 2
Cartesian
0.000 0.000 1.962
1.942 1.942 1.962
0.000 0.000 0.000
0.000 1.942 0.000
1.942 0.000 0.000
```


Material: Sm4ZrN5
Method: DFT, PBE
State: relaxed

Calculated values
The uncorrected formation energy comes out at -1.533 eV/atom. As for the total moment: 0.00 μB/f.u. Its density of states at the Fermi level is 1.785 states/eV per cell. The calculation puts the density at 8.2 g/cm³. Its symmetry is No. 79.

The structure in POSCAR format:
```
Sm4ZrN5
1.0
4.521 0.000 2.181
2.260 5.545 1.090
-0.148 0.000 6.084
Sm Zr N
4 1 5
Cartesian
2.596 2.226 6.192
5.347 4.449 6.264
1.301 1.096 3.099
4.053 3.319 3.171
0.126 0.000 0.061
4.837 2.083 7.336
3.030 4.506 5.305
3.630 1.039 4.063
1.823 3.462 2.032
2.096 0.000 1.011
```


Material: Na2Tl8In
Method: DFT, PBE
State: relaxed

Calculated values
As for the total moment: 0.00 μB/f.u. The electronic total energy is -2.239 eV/atom. Its density of states at the Fermi level is 4.378 states/eV per cell. The calculation puts the density at 9.0 g/cm³. Its symmetry is No. 123.

The structure in POSCAR format:
```
Na2Tl8In
1.0
5.248 0.000 0.000
0.000 5.248 0.000
0.000 0.000 12.070
Na Tl In
2 8 1
Cartesian
0.000 0.000 3.918
0.000 0.000 8.152
0.000 2.624 6.035
2.624 0.000 6.035
2.624 2.624 3.903
2.624 2.624 8.167
0.000 2.624 1.778
2.624 0.000 1.778
0.000 2.624 10.291
2.624 0.000 10.291
0.000 0.000 0.000
```